Record 1
Material: Tm3Hg2Au
Method: DFT, PBE
State: relaxed

energy of formation	-0.614	eV per atom

a b c (Å): 5.132 5.132 6.296
angles (deg): 90.00 90.00 120.00
Fractional positions:
1 Tm 0.000 0.000 0.500
2 Tm 0.667 0.333 0.845
3 Tm 0.333 0.667 0.155
4 Hg 0.667 0.333 0.344
5 Hg 0.333 0.667 0.656
6 Au 0.000 0.000 0.000

---

Record 2
Material: Tm4Hg5Au2
Method: DFT, PBE
State: relaxed

energy of formation	-0.520	eV per atom

a b c (Å): 3.506 7.700 9.804
angles (deg): 95.41 90.00 90.00
Fractional positions:
1 Tm 0.500 0.763 0.565
2 Tm 0.500 0.180 0.869
3 Tm 0.500 0.237 0.435
4 Tm 0.500 0.820 0.131
5 Hg 0.000 0.536 0.322
6 Hg 0.000 0.168 0.143
7 Hg 0.000 0.500 0.000
8 Hg 0.000 0.832 0.857
9 Hg 0.000 0.464 0.678
10 Au 0.000 0.077 0.638
11 Au 0.000 0.923 0.362

---

Record 3
Material: Tm6Hg2Au
Method: DFT, PBE
State: relaxed

energy of formation	-0.299	eV per atom

a b c (Å): 6.355 7.890 10.044
angles (deg): 90.00 91.47 90.00
Site moments in Bohr magnetons follow the coordinates.
Fractional positions:
1 Tm 0.857 0.955 0.233  0.17
2 Tm 0.847 0.657 0.560  0.22
3 Tm 0.857 0.712 0.938  0.17
4 Tm 0.643 0.212 0.562  0.17
5 Tm 0.653 0.157 0.940  0.22
6 Tm 0.643 0.455 0.267  0.17
7 Tm 0.143 0.045 0.767  0.17
8 Tm 0.153 0.343 0.440  0.22
9 Tm 0.143 0.288 0.062  0.17
10 Tm 0.357 0.788 0.438  0.17
11 Tm 0.347 0.843 0.060  0.22
12 Tm 0.357 0.545 0.733  0.17
13 Hg 0.930 0.389 0.773  0.01
14 Hg 0.570 0.889 0.727  0.01
15 Hg 0.430 0.111 0.273  0.01
16 Hg 0.070 0.611 0.227  0.01
17 Au 0.500 0.500 0.000  0.02
18 Au 0.000 0.000 0.500  0.02

---

Record 4
Material: Tm4HgAu3
Method: DFT, PBE
State: relaxed

energy of formation	-0.775	eV per atom

a b c (Å): 3.663 4.699 11.005
angles (deg): 90.00 90.00 90.00
Fractional positions:
1 Tm 0.500 0.500 0.367
2 Tm 0.000 0.500 0.852
3 Tm 0.000 0.000 0.144
4 Tm 0.500 0.000 0.638
5 Hg 0.500 0.500 0.089
6 Au 0.000 0.500 0.588
7 Au 0.000 0.000 0.412
8 Au 0.500 0.000 0.910